First-principles (PBE) data for a geometry-optimized BaTl2InHg2 structure, as listed in Alexandria.

Results
Energy: -1.920 eV/atom
Magnetic moment: 0.00 Bohr magnetons per cell

a = 5.242 Å, b = 5.242 Å, c = 7.982 Å
α = 90.00°, β = 90.00°, γ = 120.00°
Fractional positions:
Ba 0.000 0.000 0.000
Tl 0.333 0.667 0.664
Tl 0.667 0.333 0.336
In 0.000 0.000 0.500
Hg 0.333 0.667 0.227
Hg 0.667 0.333 0.773